8
Lattice="7.818 0.000 0.000 -3.906 6.777 0.000 -3.906 -2.252 7.102" Properties=species:S:1:pos:R:3 comment="PaPbI6 (PBE-GGA, optimized geometry)" dft_energy_ev_per_cell=-28.96 polymorph_energy_mev_per_atom=0 rho_g_cm3=5.3 pbc="T T T"
Pa 0.000 0.000 0.000
Pb -3.906 2.262 3.551
I -5.312 4.583 5.371
I -2.602 4.642 1.732
I 1.201 2.198 1.729
I -1.195 2.327 5.373
I 2.608 -0.117 5.371
I 5.317 -0.058 1.732

***

5
Lattice="5.664 0.000 0.000 0.000 5.664 0.000 0.000 0.000 5.664" Properties=species:S:1:pos:R:3 comment="CsSb3Cl (PBE-GGA, optimized geometry)" dft_energy_ev_per_cell=-13.20 polymorph_energy_mev_per_atom=0 rho_g_cm3=4.9 pbc="T T T"
Cs 0.000 0.000 0.000
Sb 0.000 2.832 2.832
Sb 2.832 0.000 2.832
Sb 2.832 2.832 0.000
Cl 2.832 2.832 2.832

***

12
Lattice="3.402 -3.485 0.000 3.402 3.485 0.000 0.000 0.000 6.725" Properties=species:S:1:pos:R:3 comment="In2IrPbO8 (PBE-GGA, optimized geometry)" dft_energy_ev_per_cell=-70.12 rho_g_cm3=7.9 pbc="T T T"
In 0.000 0.000 1.657
In 0.000 0.000 5.068
Ir 3.402 0.000 0.000
Pb 3.402 0.000 3.362
O 1.287 0.000 3.362
O 1.482 0.000 0.000
O 3.402 1.294 1.470
O 3.402 1.294 5.255
O 3.402 -1.294 1.470
O 3.402 -1.294 5.255
O 5.323 0.000 0.000
O 5.518 0.000 3.362

***

These records have uncorrected formation energy values of -0.806; 0.374; -1.034 eV/atom, in the order they appear.